# CdTc2As

A relaxed CdTc2As crystal (GGA-PBE, the Alexandria database).

abc: 3.0734 3.0734 6.8618
angles: 90.00 90.00 90.00
Fractional positions:
Cd1 0.0000 0.0000 0.0000
Tc1 0.5000 0.5000 0.3012
Tc2 0.5000 0.5000 0.6988
As1 0.0000 0.0000 0.5000

Calculated values
D(E_F) = 0.863 states/eV per atom
Raw total energy = -6.37 eV per atom
Crystal system = tetragonal
Formation energy = 0.20 eV per atom